# 1
This record from the Alexandria database describes an optimized crystal structure of EuLuAl2. The functional is PBE.

POSCAR file:
```
EuLuAl2
1.0
0.000 3.639 3.639
3.639 0.000 3.639
3.639 3.639 0.000
Eu Lu Al
1 1 2
Cartesian
0.000 0.000 0.000 Eu
3.639 3.639 3.639 Lu
1.819 1.819 1.819 Al
5.458 5.458 5.458 Al
```

Calculated values
- space-group type = Fm-3m, No. 225
- VASP energy (eV per atom) = -5.844
- Fermi-level density of states (states/eV per atom) = 0.832
- distance to the lowest polymorph of the same formula (meV per atom) = 41



# 2
This record from the Alexandria database describes an optimized crystal structure of TlCu2Br. The functional is PBE.

POSCAR file:
```
TlCu2Br
1.0
3.045 -3.811 0.000
3.045 3.811 0.000
0.000 0.000 3.460
Tl Cu Br
1 2 1
Cartesian
0.000 0.000 0.000 Tl
1.523 1.906 1.730 Cu
1.523 -1.906 1.730 Cu
3.045 0.000 0.000 Br
```

Calculated values
- space-group type = Cmmm, No. 65
- VASP energy (eV per atom) = -2.652
- Fermi-level density of states (states/eV per atom) = 0.522
- formation energy (no corrections) (eV per formula unit) = 1.62
- distance to the lowest polymorph of the same formula (meV per atom) = 358



# 3
This record from the Alexandria database describes an optimized crystal structure of VNiSnCl2. The functional is PBE.

POSCAR file:
```
VNiSnCl2
1.0
4.402 0.000 0.000
0.000 4.402 0.000
0.000 0.000 5.837
V Ni Sn Cl
1 1 1 2
Cartesian
0.000 0.000 0.000 V
2.201 2.201 2.918 Ni
0.000 0.000 2.918 Sn
0.000 2.201 0.000 Cl
2.201 0.000 0.000 Cl
```

Calculated values
- space-group type = P4/mmm, No. 123
- VASP energy (eV per atom) = -4.312
- Fermi-level density of states (states/eV per atom) = 1.744
- formation energy (no corrections) (eV per formula unit) = 1.03



# 4
This record from the Alexandria database describes an optimized crystal structure of BaSbRu2. The functional is PBE.

POSCAR file:
```
BaSbRu2
1.0
4.843 0.000 0.000
0.000 4.843 0.000
0.000 0.000 3.522
Ba Sb Ru
1 1 2
Cartesian
0.000 0.000 0.000 Ba
2.421 2.421 0.000 Sb
0.000 2.421 1.761 Ru
2.421 0.000 1.761 Ru
```

Calculated values
- space-group type = P4/mmm, No. 123
- VASP energy (eV per atom) = -5.601
- Fermi-level density of states (states/eV per atom) = 0.934
- formation energy (no corrections) (eV per formula unit) = 2.19



# 5
This record from the Alexandria database describes an optimized crystal structure of Pm8Ge3Bi2. The functional is PBE.

POSCAR file:
```
Pm8Ge3Bi2
1.0
8.016 -4.164 0.000
8.016 4.164 0.000
-2.117 0.000 6.993
Pm Ge Bi
8 3 2
Cartesian
0.744 0.000 2.547 Pm
6.119 2.084 0.708 Pm
7.796 2.084 6.284 Pm
5.058 0.000 4.167 Pm
8.856 0.000 2.826 Pm
6.119 -2.084 0.708 Pm
7.796 -2.084 6.284 Pm
13.171 0.000 4.445 Pm
6.957 2.110 3.496 Ge
8.016 0.000 0.000 Ge
6.957 -2.110 3.496 Ge
3.652 0.000 1.180 Bi
10.262 0.000 5.813 Bi
```

Calculated values
- space-group type = C2/m, No. 12
- VASP energy (eV per atom) = -5.123
- Fermi-level density of states (states/eV per atom) = 0.854



# 6
This record from the Alexandria database describes an optimized crystal structure of U2BiC. The functional is PBE.

POSCAR file:
```
U2BiC
1.0
1.638 0.946 8.774
-1.638 0.946 8.774
0.000 -1.892 8.774
U Bi C
2 1 1
Cartesian
0.000 0.000 0.000 U
0.000 0.000 5.822 U
0.000 0.000 20.456 Bi
0.000 0.000 16.064 C
```

Calculated values
- space-group type = R3m, No. 160
- VASP energy (eV per atom) = -8.969
- Fermi-level density of states (states/eV per atom) = 2.203



# 7
This record from the Alexandria database describes an optimized crystal structure of Zn2RePt. The functional is PBE.

POSCAR file:
```
Zn2RePt
1.0
1.393 0.804 8.774
-1.393 0.804 8.774
0.000 -1.608 8.774
Zn Re Pt
2 1 1
Cartesian
0.000 0.000 6.593 Zn
0.000 0.000 19.729 Zn
0.000 0.000 13.161 Re
0.000 0.000 0.000 Pt
```

Calculated values
- space-group type = R-3m, No. 166
- VASP energy (eV per atom) = -5.332
- Fermi-level density of states (states/eV per atom) = 0.541
- distance to the lowest polymorph of the same formula (meV per atom) = 0



# 8
This record from the Alexandria database describes an optimized crystal structure of KCuH3. The functional is PBE.

POSCAR file:
```
KCuH3
1.0
3.723 0.000 0.000
0.000 3.723 0.000
0.000 0.000 3.723
K Cu H
1 1 3
Cartesian
0.000 0.000 0.000 K
1.861 1.861 1.861 Cu
0.000 1.861 1.861 H
1.861 0.000 1.861 H
1.861 1.861 0.000 H
```

Calculated values
- space-group type = Pm-3m, No. 221
- VASP energy (eV per atom) = -3.022
- Fermi-level density of states (states/eV per atom) = 0.144
- distance to the lowest polymorph of the same formula (meV per atom) = 61



# 9
This record from the Alexandria database describes an optimized crystal structure of HoAgSeS. The functional is PBE.

POSCAR file:
```
HoAgSeS
1.0
2.204 1.272 11.101
-2.204 1.272 11.101
0.000 -2.545 11.101
Ho Ag Se S
2 2 2 2
Cartesian
0.000 0.000 3.743 Ho
0.000 0.000 29.559 Ho
0.000 0.000 10.290 Ag
0.000 0.000 23.012 Ag
0.000 0.000 13.057 Se
0.000 0.000 20.245 Se
0.000 0.000 6.556 S
0.000 0.000 26.746 S
```

Calculated values
- space-group type = R-3m, No. 166
- VASP energy (eV per atom) = -4.996
- Fermi-level density of states (states/eV per atom) = 0.000
- formation energy (no corrections) (eV per formula unit) = -4.94



# 10
This record from the Alexandria database describes an optimized crystal structure of Zn2SiAu. The functional is PBE.

POSCAR file:
```
Zn2SiAu
1.0
0.000 3.205 3.205
3.205 0.000 3.205
3.205 3.205 0.000
Zn Si Au
2 1 1
Cartesian
0.000 0.000 0.000 Zn
1.602 1.602 1.602 Zn
4.807 4.807 4.807 Si
3.205 3.205 3.205 Au
```

Calculated values
- space-group type = F-43m, No. 216
- VASP energy (eV per atom) = -2.637
- Fermi-level density of states (states/eV per atom) = 0.177
- formation energy (no corrections) (eV per formula unit) = 0.70



# 11
This record from the Alexandria database describes an optimized crystal structure of CuReBr6. The functional is PBE.

POSCAR file:
```
CuReBr6
1.0
3.462 -6.173 0.000
3.462 6.173 0.000
-3.146 0.000 6.160
Cu Re Br
1 1 6
Cartesian
0.000 0.000 0.000 Cu
1.889 0.000 3.080 Re
0.926 1.754 1.512 Br
-0.219 0.000 4.372 Br
0.926 -1.754 1.512 Br
2.853 1.754 4.649 Br
3.998 0.000 1.789 Br
2.853 -1.754 4.649 Br
```

Calculated values
- space-group type = C2/m, No. 12
- VASP energy (eV per atom) = -3.557
- Fermi-level density of states (states/eV per atom) = 0.682
- formation energy (no corrections) (eV per formula unit) = -1.87



# 12
This record from the Alexandria database describes an optimized crystal structure of Li3Sn11Pd4. The functional is PBE.

POSCAR file:
```
Li3Sn11Pd4
1.0
8.544 0.000 0.000
0.000 4.796 4.707
0.000 -4.796 4.707
Li Sn Pd
3 11 4
Cartesian
0.000 0.000 0.000 Li
4.272 -2.370 5.411 Li
4.272 2.370 5.411 Li
0.000 -1.580 2.991 Sn
0.000 1.580 2.991 Sn
0.000 0.000 6.258 Sn
2.705 0.000 1.442 Sn
2.717 -1.494 7.760 Sn
2.717 1.494 7.760 Sn
2.740 0.000 4.449 Sn
5.804 0.000 4.449 Sn
5.827 -1.494 7.760 Sn
5.827 1.494 7.760 Sn
5.839 0.000 1.442 Sn
1.553 -2.359 5.372 Pd
1.553 2.359 5.372 Pd
6.991 -2.359 5.372 Pd
6.991 2.359 5.372 Pd
```

Calculated values
- space-group type = Amm2, No. 38
- VASP energy (eV per atom) = -4.289
- Fermi-level density of states (states/eV per atom) = 0.296



# 13
This record from the Alexandria database describes an optimized crystal structure of MnCu2GeH. The functional is PBE.

POSCAR file:
```
MnCu2GeH
1.0
3.741 0.000 0.000
0.000 3.741 0.000
0.000 0.000 3.882
Mn Cu Ge H
1 2 1 1
Cartesian
0.000 0.000 0.000 Mn
0.000 1.871 1.941 Cu
1.871 0.000 1.941 Cu
1.871 1.871 0.000 Ge
0.000 0.000 1.941 H
```

Calculated values
- space-group type = P4/mmm, No. 123
- VASP energy (eV per atom) = -5.010
- Fermi-level density of states (states/eV per atom) = 0.318



Calculated M_tot (μB per cell), listed in the same order as above: 6.87 0.00 0.85 0.00 0.00 2.00 0.00 0.00 0.00 0.00 3.20 0.00 2.79